A relaxed AgP2 crystal. Source: Alexandria, functional PBE.

Cell: 3.120 3.120 10.421 Å, 90.00 90.00 90.00°
Atoms (fractional coordinates):
1 Ag 0.000 0.000 0.000
2 Ag 0.500 0.500 0.500
3 P 0.000 0.000 0.295
4 P 0.000 0.000 0.705
5 P 0.500 0.500 0.205
6 P 0.500 0.500 0.795

Output
The total energy comes out at -4.148 eV/atom. As for the energy of formation: 409 meV per atom. Its space group is I4/mmm, No. 139.

---

A relaxed MgTaCu crystal. Source: Alexandria, functional PBE.

Cell: 4.079 4.091 11.869 Å, 90.00 90.00 90.00°
Atoms (fractional coordinates):
1 Mg 0.000 0.000 0.153
2 Mg 0.000 0.000 0.847
3 Mg 0.500 0.500 0.153
4 Mg 0.500 0.500 0.847
5 Ta 0.000 0.500 0.345
6 Ta 0.000 0.500 0.655
7 Ta 0.500 0.000 0.345
8 Ta 0.500 0.000 0.655
9 Cu 0.000 0.000 0.500
10 Cu 0.000 0.500 0.000
11 Cu 0.500 0.000 0.000
12 Cu 0.500 0.500 0.500

Output
The total energy comes out at -5.704 eV/atom. As for the energy of formation: 144 meV per atom. Its space group is Cmmm, No. 65.

---

A relaxed KRb2HgI crystal. Source: Alexandria, functional PBE.

Cell: 7.156 7.156 6.793 Å, 90.00 90.00 90.00°
Atoms (fractional coordinates):
1 K 0.000 0.000 0.000
2 Rb 0.000 0.500 0.500
3 Rb 0.500 0.000 0.500
4 Hg 0.500 0.500 0.000
5 I 0.000 0.000 0.500

Output
The total energy comes out at -1.475 eV/atom. As for the formation energy without anion corrections: -0.498 eV/atom. Its space group is P4/mmm, No. 123.

---

A relaxed Rb4Pd3Cl10 crystal. Source: Alexandria, functional PBE.

Cell: 18.380 18.380 18.380 Å, 164.27 164.27 22.31°
Atoms (fractional coordinates):
1 Rb 0.068 0.068 0.000
2 Rb 0.200 0.200 0.000
3 Rb 0.800 0.800 0.000
4 Rb 0.932 0.932 0.000
5 Pd 0.362 0.362 0.000
6 Pd 0.500 0.500 0.000
7 Pd 0.638 0.638 0.000
8 Cl 0.000 0.500 0.500
9 Cl 0.138 0.638 0.500
10 Cl 0.293 0.293 0.000
11 Cl 0.362 0.862 0.500
12 Cl 0.429 0.429 0.000
13 Cl 0.500 0.000 0.500
14 Cl 0.571 0.571 0.000
15 Cl 0.638 0.138 0.500
16 Cl 0.707 0.707 0.000
17 Cl 0.862 0.362 0.500

Output
The total energy comes out at -3.414 eV/atom. As for the formation energy without anion corrections: -1.183 eV/atom. Its space group is I4/mmm, No. 139.

---

A relaxed CsAg3C crystal. Source: Alexandria, functional PBE.

Cell: 4.732 4.732 4.732 Å, 90.00 90.00 90.00°
Atoms (fractional coordinates):
1 Cs 0.000 0.000 0.000
2 Ag 0.000 0.500 0.500
3 Ag 0.500 0.000 0.500
4 Ag 0.500 0.500 0.000
5 C 0.500 0.500 0.500

Output
The total energy comes out at -2.914 eV/atom. As for the energy of formation: 812 meV per atom. Its space group is Pm-3m, No. 221.

---

A relaxed Hg8TeS5 crystal. Source: Alexandria, functional PBE.

Cell: 8.240 8.240 8.240 Å, 60.00 60.00 60.00°
Atoms (fractional coordinates):
1 Hg 0.391 0.391 0.391
2 Hg 0.391 0.391 0.828
3 Hg 0.391 0.828 0.391
4 Hg 0.393 0.869 0.869
5 Hg 0.828 0.391 0.391
6 Hg 0.869 0.393 0.869
7 Hg 0.869 0.869 0.393
8 Hg 0.869 0.869 0.869
9 Te 0.250 0.250 0.250
10 S 0.000 0.000 0.000
11 S 0.121 0.626 0.626
12 S 0.626 0.121 0.626
13 S 0.626 0.626 0.121
14 S 0.626 0.626 0.626

Output
The total energy comes out at -1.810 eV/atom. As for the formation energy without anion corrections: 0.061 eV/atom. Its space group is F-43m, No. 216.

---

A relaxed Sr3NbSe crystal. Source: Alexandria, functional PBE.

Cell: 5.694 5.694 5.694 Å, 90.00 90.00 90.00°
Atoms (fractional coordinates):
1 Sr 0.000 0.000 0.500
2 Sr 0.000 0.500 0.000
3 Sr 0.500 0.000 0.000
4 Nb 0.000 0.000 0.000
5 Se 0.500 0.500 0.500

Output
The total energy comes out at -3.145 eV/atom. As for the formation energy without anion corrections: 0.575 eV/atom. Its space group is Pm-3m, No. 221.

---

A relaxed La2Zn3Ni4 crystal. Source: Alexandria, functional PBE.

Cell: 8.443 8.443 7.047 Å, 90.00 90.00 142.71°
Atoms (fractional coordinates):
1 La 0.110 0.890 0.924
2 La 0.390 0.610 0.424
3 La 0.610 0.390 0.576
4 La 0.890 0.110 0.076
5 Zn 0.000 0.000 0.500
6 Zn 0.016 0.484 0.750
7 Zn 0.484 0.016 0.250
8 Zn 0.500 0.500 0.000
9 Zn 0.516 0.984 0.750
10 Zn 0.984 0.516 0.250
11 Ni 0.166 0.834 0.506
12 Ni 0.175 0.325 0.750
13 Ni 0.325 0.175 0.250
14 Ni 0.334 0.666 0.006
15 Ni 0.666 0.334 0.994
16 Ni 0.675 0.825 0.750
17 Ni 0.825 0.675 0.250
18 Ni 0.834 0.166 0.494

Output
The total energy comes out at -4.423 eV/atom. As for the energy of formation: -334 meV per atom. Its space group is Cmce, No. 64.

---

> What is the total energy in the first record?

-4.148 eV/atom

---

> Among the records above, which one has the highest total energy?

KRb2HgI